1.
# Nb5Ga3, relaxed, DFT PBE
# E_tot = -0.5537 Ry per atom
data_Nb5Ga3
_chemical_formula_sum 'Nb10 Ga6'
_cell_length_a 5.044
_cell_length_b 7.863
_cell_length_c 7.863
_cell_angle_alpha 95.90
_cell_angle_beta 71.29
_cell_angle_gamma 108.71
_space_group_name_H-M_alt 'P 1'
_space_group_IT_number 1
loop_
_space_group_symop_operation_xyz
'x,y,z'
loop_
_atom_site_label
_atom_site_fract_x
_atom_site_fract_y
_atom_site_fract_z
_atom_site_occupancy
Nb1 0.078 0.846 0.689 1
Nb2 0.250 0.500 0.500 1
Nb3 0.922 0.154 0.311 1
Nb4 0.233 0.311 0.846 1
Nb5 0.422 0.689 0.846 1
Nb6 0.750 0.500 0.500 1
Nb7 0.267 0.846 0.311 1
Nb8 0.767 0.689 0.154 1
Nb9 0.733 0.154 0.689 1
Nb10 0.578 0.311 0.154 1
Ga1 0.165 0.500 0.169 1
Ga2 0.835 0.500 0.831 1
Ga3 0.000 0.000 0.000 1
Ga4 0.335 0.169 0.500 1
Ga5 0.665 0.831 0.500 1
Ga6 0.500 0.000 0.000 1


2.
# NbGa2, relaxed, DFT PBE
# E_tot = -0.4027 Ry per atom
data_NbGa2
_chemical_formula_sum 'Nb2 Ga4'
_cell_length_a 5.120
_cell_length_b 5.120
_cell_length_c 5.120
_cell_angle_alpha 60.00
_cell_angle_beta 60.00
_cell_angle_gamma 60.00
_space_group_name_H-M_alt 'P 1'
_space_group_IT_number 1
loop_
_space_group_symop_operation_xyz
'x,y,z'
loop_
_atom_site_label
_atom_site_fract_x
_atom_site_fract_y
_atom_site_fract_z
_atom_site_occupancy
Ga1 0.125 0.625 0.625 1
Ga2 0.625 0.125 0.625 1
Ga3 0.625 0.625 0.625 1
Ga4 0.625 0.625 0.125 1
Nb1 0.250 0.250 0.250 1
Nb2 0.000 0.000 0.000 1


3.
# Nb5Ga13, relaxed, DFT PBE
# E_tot = -0.3904 Ry per atom
data_Nb5Ga13
_chemical_formula_sum 'Nb5 Ga13'
_cell_length_a 20.357
_cell_length_b 3.794
_cell_length_c 3.787
_cell_angle_alpha 90.00
_cell_angle_beta 90.00
_cell_angle_gamma 95.35
_space_group_name_H-M_alt 'P 1'
_space_group_IT_number 1
loop_
_space_group_symop_operation_xyz
'x,y,z'
loop_
_atom_site_label
_atom_site_fract_x
_atom_site_fract_y
_atom_site_fract_z
_atom_site_occupancy
Nb1 0.217 0.108 0.500 1
Nb2 0.783 0.892 0.500 1
Nb3 0.433 0.717 0.000 1
Nb4 0.000 0.500 0.000 1
Nb5 0.567 0.283 0.000 1
Ga1 0.890 0.445 0.500 1
Ga2 0.330 0.165 0.000 1
Ga3 0.890 0.945 0.000 1
Ga4 0.223 0.612 0.000 1
Ga5 0.329 0.665 0.500 1
Ga6 0.777 0.388 0.000 1
Ga7 0.000 0.000 0.500 1
Ga8 0.670 0.835 0.000 1
Ga9 0.456 0.228 0.500 1
Ga10 0.110 0.055 0.000 1
Ga11 0.671 0.335 0.500 1
Ga12 0.544 0.772 0.500 1
Ga13 0.110 0.555 0.500 1